Record 1
5
Lattice="4.190 0.000 0.000 0.000 4.190 0.000 0.000 0.000 4.190" Properties=species:S:1:pos:R:3 comment="ErBRh3 PBE relaxed" spacegroup="Pm-3m (221)" ef_ev_per_atom=-0.82 crystal_system=cubic pbc="T T T"
Er 0.000 0.000 0.000
B 2.095 2.095 2.095
Rh 2.095 2.095 0.000
Rh 2.095 0.000 2.095
Rh 0.000 2.095 2.095

---

Record 2
5
Lattice="-1.541 -2.595 -2.470 3.153 0.294 -2.276 1.206 -2.274 4.717" Properties=species:S:1:pos:R:3 comment="ErB2RuRh PBE relaxed" spacegroup="I-4m2 (119)" ef_ev_per_atom=-0.60 crystal_system=tetragonal pbc="T T T"
Ru 0.235 -3.010 -0.063
B 1.433 -2.218 -1.643
B 1.385 -2.358 1.614
Rh 2.582 -1.566 0.034
Er 0.000 0.000 0.000

---

Record 3
5
Lattice="-2.941 1.993 2.266 -2.590 -0.099 -3.274 -1.495 -3.678 1.294" Properties=species:S:1:pos:R:3 comment="ErBRuRh2 PBE relaxed" spacegroup="P4/mmm (123)" ef_ev_per_atom=-0.65 crystal_system=tetragonal pbc="T T T"
Rh -0.747 -1.839 0.647
Rh -1.295 -0.050 -1.637
Er -3.513 -0.892 0.143
Ru -1.471 0.996 1.133
B 0.000 0.000 0.000

---

Record 4
15
Lattice="5.847 0.000 0.000 -2.924 5.064 0.000 0.000 0.000 8.780" Properties=species:S:1:pos:R:3 comment="Er3B2SbRh9 PBE relaxed" spacegroup="P-3m1 (164)" crystal_system=trigonal e_form_raw_ev_per_atom=-0.638 pbc="T T T"
Rh 4.429 0.819 6.428
Rh 1.418 0.819 6.428
Rh 2.924 0.000 0.000
Rh 1.506 4.245 2.351
Rh 1.462 2.532 0.000
Rh 0.000 1.637 2.351
Rh -1.506 4.245 2.351
Rh 2.924 3.427 6.428
Rh -1.462 2.532 0.000
Er 2.924 1.688 2.574
Er 0.000 3.376 6.205
Er 0.000 0.000 0.000
B 0.000 3.376 1.282
B 2.924 1.688 7.498
Sb 0.000 0.000 4.390

---

Record 5
20
Lattice="3.209 0.000 0.000 0.000 9.327 0.000 0.000 0.000 9.327" Properties=species:S:1:pos:R:3 comment="Er2SiB2Rh5 PBE relaxed" spacegroup="P4/mbm (127)" crystal_system=tetragonal e_form_raw_ev_per_atom=-0.868 pbc="T T T"
B 0.000 5.808 8.183
B 0.000 1.144 5.808
B 0.000 8.183 3.519
B 0.000 3.519 1.144
Er 0.000 6.301 1.638
Er 0.000 1.638 3.026
Er 0.000 7.689 6.301
Er 0.000 3.026 7.689
Rh 1.605 2.663 5.308
Rh 1.605 2.001 0.644
Rh 1.605 5.308 6.664
Rh 1.605 4.664 0.000
Rh 1.605 4.019 2.663
Rh 1.605 7.326 8.683
Rh 1.605 8.683 2.001
Rh 1.605 0.000 4.664
Rh 1.605 0.644 7.326
Rh 1.605 6.664 4.019
Si 0.000 4.664 4.664
Si 0.000 0.000 0.000

---

Record 6
15
Lattice="6.041 0.000 0.000 -3.021 5.232 0.000 0.000 0.000 7.419" Properties=species:S:1:pos:R:3 comment="Er3SiB2Rh9 PBE relaxed" spacegroup="P-3m1 (164)" crystal_system=trigonal e_form_raw_ev_per_atom=-0.789 pbc="T T T"
B 3.021 1.744 6.300
B 0.000 3.488 1.119
Rh 1.436 4.317 2.380
Rh 1.510 2.616 0.000
Rh 4.456 0.915 5.039
Rh 1.585 0.915 5.039
Rh -1.510 2.616 0.000
Rh 0.000 1.830 2.380
Rh 3.021 3.402 5.039
Rh -1.436 4.317 2.380
Rh 3.021 0.000 0.000
Er 0.000 3.488 4.940
Er 3.021 1.744 2.479
Er 0.000 0.000 0.000
Si 0.000 0.000 3.709

---

Record 7
10
Lattice="6.107 -0.001 0.000 -0.001 6.107 0.000 3.053 3.053 4.320" Properties=species:S:1:pos:R:3 comment="Er2SiBRh6 PBE relaxed" spacegroup="Fm-3m (225)" crystal_system=cubic e_form_raw_ev_per_atom=-0.770 pbc="T T T"
Rh 7.563 4.648 4.320
Rh 7.563 7.563 4.320
Rh 1.595 1.596 0.000
Rh 1.596 4.511 0.000
Rh 6.106 6.106 2.258
Rh 3.053 3.053 2.062
Si 0.000 0.000 0.000
Er 3.052 6.106 2.161
Er 6.106 3.053 2.160
B 3.053 3.053 0.000

---

Record 8
20
Lattice="7.526 0.000 0.000 -2.509 7.096 0.000 -2.509 -3.548 6.145" Properties=species:S:1:pos:R:3 comment="Er4SnB3Rh12 PBE relaxed" spacegroup="Im-3m (229)" ef_ev_per_atom=-0.58 crystal_system=cubic pbc="T T T"
Rh -1.254 0.887 4.609
Rh 1.398 -0.989 1.712
Rh 3.763 0.000 3.073
Rh 1.398 1.977 0.000
Rh 3.619 5.119 0.000
Rh 1.254 4.435 1.536
Rh -3.619 2.559 4.433
Rh 1.254 -0.887 4.609
Rh 3.763 2.661 1.536
Rh -1.398 0.989 1.712
Rh -1.254 3.548 3.073
Rh 3.619 -2.559 4.433
Er -1.254 -1.774 3.073
Er 3.763 0.000 0.000
Er -1.254 3.548 0.000
Er 1.254 1.774 3.073
B 2.509 -1.774 3.073
B 2.509 3.548 0.000
B -2.509 1.774 3.073
Sn 0.000 0.000 0.000

---

Record 9
9
Lattice="-4.185 -3.153 -3.065 1.424 -1.653 5.665 -1.278 5.638 1.855" Properties=species:S:1:pos:R:3 comment="Er2Sn2BRh4 PBE relaxed" spacegroup="I4/mmm (139)" ef_ev_per_atom=-0.53 crystal_system=tetragonal pbc="T T T"
Rh -1.970 -0.556 0.333
Rh 0.777 0.093 4.753
Rh -2.069 1.387 4.122
Rh -0.631 3.891 2.767
B 0.000 0.000 0.000
Sn -2.695 2.238 1.275
Sn -1.344 -1.407 3.180
Er 0.103 2.817 5.317
Er 0.043 1.167 2.203

---

Record 10
20
Lattice="-2.269 -2.289 -0.467 1.435 -3.291 9.148 -6.901 6.168 3.302" Properties=species:S:1:pos:R:3 comment="Tb2ErB2Rh5 PBE relaxed" spacegroup="P4/mbm (127)" ef_ev_per_atom=-0.80 crystal_system=tetragonal pbc="T T T"
Tb -0.235 -1.144 6.744
Tb -1.998 1.435 2.670
Tb -5.231 4.021 5.706
Tb -3.468 1.442 9.780
Rh -5.355 1.480 7.406
Rh -6.343 3.368 2.962
Rh -3.043 -0.905 7.862
Rh -1.297 -1.461 2.110
Rh -2.380 -0.891 4.577
Rh -0.417 -2.790 4.340
Rh -1.391 -2.779 9.021
Rh -4.691 1.493 4.120
Rh -4.585 1.940 1.417
Rh -6.438 2.050 9.873
B -4.113 3.433 3.160
B -0.293 -0.499 3.865
B -1.353 -0.556 9.290
B -5.173 3.376 8.584
Er 0.000 0.000 0.000
Er -2.733 1.439 6.225

---

Record 11
15
Lattice="-3.967 -2.421 3.571 5.158 -2.644 -0.873 3.401 4.402 6.764" Properties=species:S:1:pos:R:3 comment="Er3B2TeRh9 PBE relaxed" spacegroup="P-3m1 (164)" crystal_system=trigonal e_form_raw_ev_per_atom=-0.641 pbc="T T T"
Rh 1.940 -0.062 2.113
Rh -1.984 -1.211 1.785
Rh 2.579 -1.322 -0.436
Rh 2.038 2.010 5.958
Rh 4.598 -1.425 1.663
Rh 2.652 -0.601 7.349
Rh 2.553 -2.673 3.504
Rh -0.007 0.762 7.799
Rh 0.595 -2.533 1.349
B 2.616 -1.923 1.602
B 1.976 1.260 7.860
Te 1.701 2.201 3.382
Er 4.547 0.577 5.444
Er 0.044 -1.240 4.019
Er 0.000 0.000 0.000

---

Record 12
20
Lattice="3.250 0.000 0.000 0.000 9.646 0.000 0.000 0.000 9.646" Properties=species:S:1:pos:R:3 comment="Er2TlB2Rh5 PBE relaxed" spacegroup="P4/mbm (127)" ef_ev_per_atom=-0.72 crystal_system=tetragonal pbc="T T T"
Rh 1.625 4.823 0.000
Rh 1.625 0.000 4.823
Rh 1.625 4.139 2.624
Rh 1.625 7.022 4.139
Rh 1.625 2.199 0.684
Rh 1.625 0.684 7.447
Rh 1.625 7.447 8.962
Rh 1.625 2.624 5.508
Rh 1.625 5.508 7.022
Rh 1.625 8.962 2.199
Er 0.000 6.514 1.691
Er 0.000 3.132 7.955
Er 0.000 7.955 6.514
Er 0.000 1.691 3.132
B 0.000 8.477 3.654
B 0.000 1.169 5.993
B 0.000 3.654 1.169
B 0.000 5.993 8.477
Tl 0.000 4.823 4.823
Tl 0.000 0.000 0.000

---

Record 13
20
Lattice="7.568 0.000 0.000 -2.523 7.135 0.000 -2.523 -3.567 6.179" Properties=species:S:1:pos:R:3 comment="Er4TlB3Rh12 PBE relaxed" spacegroup="Im-3m (229)" ef_ev_per_atom=-0.47 crystal_system=cubic pbc="T T T"
Er 3.784 0.000 0.000
Er -1.261 -1.784 3.090
Er -1.261 3.567 0.000
Er 1.261 1.784 3.090
Rh 3.618 -2.558 4.431
Rh 1.427 2.018 0.000
Rh 1.261 4.459 1.545
Rh -1.261 3.567 3.090
Rh -1.261 0.892 4.634
Rh 3.784 2.676 1.545
Rh 1.261 -0.892 4.634
Rh 3.784 0.000 3.090
Rh 3.618 5.117 0.000
Rh -1.427 1.009 1.748
Rh 1.427 -1.009 1.748
Rh -3.618 2.558 4.431
B -2.523 1.784 3.090
B 2.523 3.567 0.000
B 2.523 -1.784 3.090
Tl 0.000 0.000 0.000

---

Record 14
20
Lattice="-1.669 -1.927 -1.989 -1.935 -6.010 7.447 -8.135 5.034 1.949" Properties=species:S:1:pos:R:3 comment="Er2TmB2Rh5 PBE relaxed" spacegroup="P4/mbm (127)" ef_ev_per_atom=-0.85 crystal_system=tetragonal pbc="T T T"
B -4.778 -3.375 7.279
B -5.292 2.398 2.117
B -1.721 -1.662 3.055
B -8.349 0.686 6.342
Tm -5.035 -0.488 4.698
Tm 0.000 0.000 0.000
Rh -1.802 -3.969 2.729
Rh -5.731 -3.189 5.271
Rh -7.244 2.488 1.041
Rh -7.872 -0.728 4.683
Rh -4.902 1.554 -0.020
Rh -3.867 -2.175 2.725
Rh -4.495 -5.390 6.367
Rh -6.008 0.286 2.137
Rh -9.880 -0.922 6.556
Rh -1.859 -1.981 0.852
Er -7.083 -1.568 7.463
Er -7.347 2.199 4.035
Er -2.987 0.592 1.933
Er -2.723 -3.175 5.361

---

Record 15
10
Lattice="6.178 0.001 0.003 0.001 6.179 0.003 3.092 3.093 4.372" Properties=species:S:1:pos:R:3 comment="Er2ZnBRh6 PBE relaxed" spacegroup="Fm-3m (225)" ef_ev_per_atom=-0.46 crystal_system=cubic pbc="T T T"
Rh 4.750 4.753 4.374
Rh 4.520 1.660 0.003
Rh 4.521 4.521 0.005
Rh 1.660 4.521 0.003
Rh 6.181 6.182 2.353
Rh 3.091 3.092 2.027
Zn 0.000 0.000 0.000
Er 3.091 6.182 2.190
Er 6.180 3.092 2.189
B 3.090 3.090 0.003

---

Record 16
9
Lattice="-4.218 -1.818 -3.462 5.310 -1.860 -1.195 -0.084 -1.934 5.416" Properties=species:S:1:pos:R:3 comment="Er2Zn2BRh4 PBE relaxed" spacegroup="I4/mmm (139)" ef_ev_per_atom=-0.72 crystal_system=tetragonal pbc="T T T"
Er 1.853 -2.787 -1.273
Er -0.844 -2.824 2.032
Rh -0.791 -1.830 -0.666
Rh 3.981 -1.878 0.434
Rh 1.245 -1.916 3.788
Rh 1.799 -3.781 1.425
Zn 1.532 -1.112 1.238
Zn 3.694 -2.682 2.984
B 0.000 0.000 0.000

---

Record 17
20
Lattice="3.168 0.000 0.000 0.000 9.479 0.000 0.000 0.000 9.479" Properties=species:S:1:pos:R:3 comment="Er2ZnB2Rh5 PBE relaxed" spacegroup="P4/mbm (127)" ef_ev_per_atom=-0.79 crystal_system=tetragonal pbc="T T T"
Rh 1.584 2.659 5.400
Rh 1.584 0.661 7.399
Rh 1.584 2.080 0.661
Rh 1.584 5.400 6.819
Rh 1.584 0.000 4.739
Rh 1.584 8.818 2.080
Rh 1.584 6.819 4.079
Rh 1.584 4.079 2.659
Rh 1.584 7.399 8.818
Rh 1.584 4.739 0.000
Er 0.000 6.404 1.665
Er 0.000 7.814 6.404
Er 0.000 3.074 7.814
Er 0.000 1.665 3.074
Zn 0.000 0.000 0.000
Zn 0.000 4.739 4.739
B 0.000 5.916 8.302
B 0.000 8.302 3.563
B 0.000 3.563 1.177
B 0.000 1.177 5.916

---

Record 18
10
Lattice="-3.336 -0.986 -1.152 0.599 -3.471 -4.590 -1.861 -6.350 4.991" Properties=species:S:1:pos:R:3 comment="Er2B2Ru PBE relaxed" spacegroup="C2/m (12)" ef_ev_per_atom=-0.40 crystal_system=monoclinic pbc="T T T"
B -3.089 -9.470 -0.436
B -3.357 -6.282 -2.386
B -1.240 -4.524 1.635
B -1.509 -1.335 -0.315
Ru -3.281 -4.936 2.068
Ru -1.317 -5.870 -2.819
Er -2.639 -3.860 -0.709
Er -4.606 -7.511 2.279
Er -1.958 -6.946 -0.042
Er 0.008 -3.295 -3.030

---

Record 19
22
Lattice="3.493 0.000 0.000 -1.747 7.797 0.000 0.000 0.000 9.270" Properties=species:S:1:pos:R:3 comment="Er3B7Ru PBE relaxed" spacegroup="Cmcm (63)" ef_ev_per_atom=-0.67 crystal_system=orthorhombic pbc="T T T"
B 1.747 0.691 2.318
B 1.747 2.056 6.033
B 0.000 4.252 4.318
B 1.747 3.546 8.953
B 1.747 0.317 8.383
B 0.000 4.252 0.317
B 0.000 7.481 3.748
B 1.747 2.056 7.872
B 0.000 5.741 1.398
B 0.000 5.741 3.237
B 0.000 7.107 6.953
B 0.000 7.481 0.887
B 1.747 0.317 5.523
B 1.747 3.546 4.952
Er 0.000 3.817 6.953
Er 0.000 1.652 0.556
Er 1.747 3.981 2.318
Er 1.747 6.146 8.715
Er 0.000 1.652 4.079
Er 1.747 6.146 5.191
Ru 1.747 6.959 2.318
Ru 0.000 0.839 6.953